A geometry-optimized Pm2SmAgN structure. Source: the Alexandria database, functional PBE.

abc: 4.968 4.968 4.914
angles: 90.00 90.00 90.00
Fractional positions:
Pm1 0.000 0.500 0.000
Pm2 0.500 0.000 0.000
Sm1 0.000 0.000 0.500
Ag1 0.500 0.500 0.500
N1 0.000 0.000 0.000

Computed properties:
Crystal system   tetragonal
ΔE_f (raw)   -628 meV per atom

A geometry-optimized ZrMo structure. Source: the Alexandria database, functional PBE.

abc: 6.013 4.652 5.506
angles: 90.00 90.00 90.00
Fractional positions:
Zr1 0.129 0.250 0.123
Zr2 0.371 0.750 0.623
Zr3 0.629 0.250 0.377
Zr4 0.871 0.750 0.877
Mo1 0.094 0.250 0.610
Mo2 0.406 0.750 0.110
Mo3 0.594 0.250 0.890
Mo4 0.906 0.750 0.390

Computed properties:
E_form   0.223 eV per atom
Crystal system   orthorhombic
Energy above the most stable polymorph in this dataset   0.2645 eV/atom

A geometry-optimized CaTl2Os structure. Source: the Alexandria database, functional PBE.

abc: 5.141 5.141 5.141
angles: 125.81 125.81 80.20
Fractional positions:
Ca1 0.000 0.000 0.000
Tl1 0.250 0.750 0.500
Tl2 0.750 0.250 0.500
Os1 0.500 0.500 0.000

Computed properties:
E_form   0.384 eV per atom
Crystal system   tetragonal

A geometry-optimized Co2MoAu structure. Source: the Alexandria database, functional PBE.

abc: 4.483 4.483 4.483
angles: 128.44 128.44 75.92
Fractional positions:
Co1 0.250 0.750 0.500
Co2 0.750 0.250 0.500
Mo1 0.000 0.000 0.000
Au1 0.500 0.500 0.000

Computed properties:
E_form   0.191 eV per atom
Crystal system   tetragonal

A geometry-optimized TbGa3PdRh structure. Source: the Alexandria database, functional PBE.

abc: 6.865 6.865 5.297
angles: 90.00 90.00 106.00
Fractional positions:
Tb1 0.195 0.805 0.750
Tb2 0.805 0.195 0.250
Ga1 0.250 0.250 0.000
Ga2 0.250 0.250 0.500
Ga3 0.329 0.671 0.250
Ga4 0.671 0.329 0.750
Ga5 0.750 0.750 0.000
Ga6 0.750 0.750 0.500
Pd1 0.085 0.915 0.250
Pd2 0.915 0.085 0.750
Rh1 0.435 0.565 0.750
Rh2 0.565 0.435 0.250

Computed properties:
E_form   -0.512 eV per atom
Crystal system   orthorhombic

A geometry-optimized ZnIr2Os structure. Source: the Alexandria database, functional PBE.

abc: 4.748 4.748 4.748
angles: 132.37 132.37 69.65
Fractional positions:
Zn1 0.000 0.000 0.000
Ir1 0.250 0.750 0.500
Ir2 0.500 0.500 0.000
Os1 0.750 0.250 0.500

Computed properties:
E_form   0.108 eV per atom
Crystal system   tetragonal

A geometry-optimized Nd2YErTm6 structure. Source: the Alexandria database, functional PBE.

abc: 8.713 8.713 9.597
angles: 94.56 94.56 118.33
Fractional positions:
Nd1 0.194 0.301 0.043
Nd2 0.301 0.194 0.543
Nd3 0.699 0.806 0.457
Nd4 0.806 0.699 0.957
Y1 0.018 0.982 0.250
Y2 0.982 0.018 0.750
Er1 0.407 0.593 0.750
Er2 0.593 0.407 0.250
Tm1 0.023 0.576 0.187
Tm2 0.127 0.744 0.558
Tm3 0.256 0.873 0.942
Tm4 0.291 0.502 0.381
Tm5 0.424 0.977 0.313
Tm6 0.498 0.709 0.119
Tm7 0.502 0.291 0.881
Tm8 0.576 0.023 0.687
Tm9 0.709 0.498 0.619
Tm10 0.744 0.127 0.058
Tm11 0.873 0.256 0.442
Tm12 0.977 0.424 0.813

Computed properties:
E_form   0.116 eV per atom
Crystal system   monoclinic

A geometry-optimized HoSc4Cd structure. Source: the Alexandria database, functional PBE.

abc: 3.334 3.334 13.384
angles: 90.00 90.00 90.00
Fractional positions:
Ho1 0.000 0.000 0.000
Sc1 0.000 0.000 0.349
Sc2 0.000 0.000 0.651
Sc3 0.500 0.500 0.181
Sc4 0.500 0.500 0.819
Cd1 0.500 0.500 0.500

Computed properties:
E_form   -0.064 eV per atom
Crystal system   tetragonal
Energy above the most stable polymorph in this dataset   0.0000 eV/atom

A geometry-optimized Tm4PS2 structure. Source: the Alexandria database, functional PBE.

abc: 7.443 7.443 6.498
angles: 115.40 115.40 29.70
Fractional positions:
Tm1 0.121 0.121 0.455
Tm2 0.376 0.376 0.039
Tm3 0.624 0.624 0.961
Tm4 0.879 0.879 0.545
P1 0.000 0.000 0.000
S1 0.257 0.257 0.261
S2 0.743 0.743 0.739

Computed properties:
Crystal system   monoclinic
ΔE_f (raw)   -1503 meV per atom

A geometry-optimized Ac2TbHg structure. Source: the Alexandria database, functional PBE.

abc: 10.143 10.143 10.143
angles: 148.53 148.53 45.10
Fractional positions:
Ac1 0.000 0.500 0.500
Ac2 0.142 0.142 0.000
Ac3 0.500 0.000 0.500
Ac4 0.858 0.858 0.000
Tb1 0.350 0.350 0.000
Tb2 0.650 0.650 0.000
Hg1 0.250 0.750 0.500
Hg2 0.750 0.250 0.500

Computed properties:
E_form   -0.203 eV per atom
Crystal system   tetragonal
Energy above the most stable polymorph in this dataset   0.0000 eV/atom

A geometry-optimized YSi2Hg structure. Source: the Alexandria database, functional PBE.

abc: 3.650 4.146 5.751
angles: 90.00 90.00 90.00
Fractional positions:
Y1 0.000 0.000 0.000
Si1 0.500 0.500 0.202
Si2 0.500 0.500 0.798
Hg1 0.500 0.000 0.500

Computed properties:
Crystal system   orthorhombic
ΔE_f (raw)   -166 meV per atom

A geometry-optimized Ca2SiSe structure. Source: the Alexandria database, functional PBE.

abc: 8.407 8.407 8.407
angles: 154.85 154.47 36.14
Fractional positions:
Ca1 0.000 0.000 0.000
Ca2 0.728 0.228 0.500
Si1 0.387 0.387 0.000
Se1 0.143 0.643 0.500

Computed properties:
Crystal system   orthorhombic
ΔE_f (raw)   -846 meV per atom
Energy above the most stable polymorph in this dataset   0.1111 eV/atom

A geometry-optimized MgPt2Pb structure. Source: the Alexandria database, functional PBE.

abc: 8.834 8.834 8.834
angles: 21.37 21.37 21.37
Fractional positions:
Mg1 0.000 0.000 0.000
Pt1 0.262 0.262 0.262
Pt2 0.517 0.517 0.517
Pb1 0.769 0.769 0.769

Computed properties:
E_form   -0.045 eV per atom
Crystal system   trigonal

A geometry-optimized SeIO2F structure. Source: the Alexandria database, functional PBE.

abc: 4.457 4.457 4.400
angles: 90.00 90.00 90.00
Fractional positions:
Se1 0.000 0.000 0.000
I1 0.500 0.500 0.000
O1 0.000 0.500 0.500
O2 0.500 0.000 0.500
F1 0.500 0.500 0.500

Computed properties:
Crystal system   tetragonal
ΔE_f (raw)   1032 meV per atom

A geometry-optimized Ba6AlTl5 structure. Source: the Alexandria database, functional PBE.

abc: 6.041 8.558 9.567
angles: 90.00 108.10 90.00
Fractional positions:
Ba1 0.000 0.243 0.000
Ba2 0.000 0.757 0.000
Ba3 0.336 0.247 0.672
Ba4 0.336 0.753 0.672
Ba5 0.664 0.247 0.328
Ba6 0.664 0.753 0.328
Al1 0.500 0.000 0.000
Tl1 0.168 0.000 0.335
Tl2 0.168 0.500 0.335
Tl3 0.500 0.500 0.000
Tl4 0.832 0.000 0.665
Tl5 0.832 0.500 0.665

Computed properties:
E_form   -0.335 eV per atom
Crystal system   monoclinic

A geometry-optimized ZrSiW2 structure. Source: the Alexandria database, functional PBE.

abc: 4.543 4.543 4.543
angles: 60.00 60.00 60.00
Fractional positions:
Zr1 0.000 0.000 0.000
Si1 0.250 0.250 0.250
W1 0.500 0.500 0.500
W2 0.750 0.750 0.750

Computed properties:
Crystal system   cubic
ΔE_f (raw)   85 meV per atom

A geometry-optimized ScNbP2S structure. Source: the Alexandria database, functional PBE.

abc: 4.821 4.821 4.707
angles: 90.00 90.00 90.00
Fractional positions:
Sc1 0.000 0.000 0.000
Nb1 0.500 0.500 0.500
P1 0.000 0.500 0.500
P2 0.500 0.000 0.500
S1 0.500 0.500 0.000

Computed properties:
Crystal system   tetragonal
ΔE_f (raw)   -181 meV per atom
Energy above the most stable polymorph in this dataset   0.0000 eV/atom

A geometry-optimized MnVTcP structure. Source: the Alexandria database, functional PBE.

abc: 4.087 4.087 4.087
angles: 60.00 60.00 60.00
Fractional positions:
Mn1 0.000 0.000 0.000
V1 0.750 0.750 0.750
Tc1 0.500 0.500 0.500
P1 0.250 0.250 0.250

Computed properties:
E_form   -0.350 eV per atom
Crystal system   cubic

A geometry-optimized CsGaTe structure. Source: the Alexandria database, functional PBE.

abc: 7.375 7.375 7.375
angles: 35.98 35.98 35.98
Fractional positions:
Cs1 0.000 0.000 0.000
Ga1 0.798 0.798 0.798
Te1 0.197 0.197 0.197

Computed properties:
Crystal system   trigonal
ΔE_f (raw)   -534 meV per atom
Energy above the most stable polymorph in this dataset   0.0866 eV/atom

A geometry-optimized ReAuCl2 structure. Source: the Alexandria database, functional PBE.

abc: 4.965 4.965 2.923
angles: 90.00 90.00 106.24
Fractional positions:
Re1 0.000 0.000 0.000
Au1 0.500 0.500 0.000
Cl1 0.000 0.500 0.500
Cl2 0.500 0.000 0.500

Computed properties:
Crystal system   orthorhombic
ΔE_f (raw)   1178 meV per atom
Energy above the most stable polymorph in this dataset   1.0596 eV/atom

Number 1: calculated volume 24.25 Å³/atom. Number 2: calculated volume 19.26 Å³/atom. Number 3: calculated volume 21.55 Å³/atom. Number 4: calculated volume 13.44 Å³/atom. Number 5: calculated volume 20.00 Å³/atom. Number 6: calculated volume 14.32 Å³/atom. Number 7: calculated volume 31.68 Å³/atom. Number 8: calculated volume 24.79 Å³/atom. Number 9: calculated volume 22.83 Å³/atom. Number 10: calculated volume 35.44 Å³/atom. Number 11: calculated volume 21.75 Å³/atom. Number 12: calculated volume 27.17 Å³/atom. Number 13: calculated volume 20.04 Å³/atom. Number 14: calculated volume 17.48 Å³/atom. Number 15: calculated volume 39.18 Å³/atom. Number 16: calculated volume 16.58 Å³/atom. Number 17: calculated volume 21.87 Å³/atom. Number 18: calculated volume 12.07 Å³/atom. Number 19: calculated volume 41.27 Å³/atom. Number 20: calculated volume 17.30 Å³/atom.